1.
# Li6DyTl6

Crystalline Li6DyTl6 at its relaxed geometry (PBE-GGA, the Alexandria database).

```
Li6DyTl6
1.0
-2.966 4.823 4.870
2.966 -4.823 4.870
2.966 4.823 -4.870
Li Dy Tl
6 1 6
direct
0.000 0.000 0.500
0.000 0.500 0.000
0.240 0.000 0.240
0.500 0.000 0.000
0.500 0.500 0.500
0.760 0.000 0.760
0.000 0.500 0.500
0.175 0.175 0.000
0.338 0.500 0.838
0.338 0.838 0.500
0.662 0.162 0.500
0.662 0.500 0.162
0.825 0.825 0.000
```

Results
**Total DFT energy (no corrections)**: -0.1876 Ry per atom



2.
# YTcOs

Crystalline YTcOs at its relaxed geometry (PBE-GGA, the Alexandria database).

```
YTcOs
1.0
4.124 0.000 0.000
-2.062 3.571 0.000
0.000 0.000 4.447
Y Tc Os
1 1 1
direct
0.000 0.000 0.000
0.667 0.333 0.524
0.333 0.667 0.469
```

Results
**Excess energy over the best structure of this formula in the dataset**: 285 meV per atom
**Total DFT energy (no corrections)**: -0.6846 Ry per atom



> Which formula does entry 2 have?

YTcOs